1.
This record from Alexandria describes crystalline GdEr2S at its relaxed geometry. The functional is PBE.

## Properties
Mass density in g/cm³: 7.68
Symmetry: R-3m, No. 166
Uncorrected formation energy in eV per atom: -0.742

The structure in POSCAR format:
```
GdEr2S
1.0
1.8126 1.0465 9.9505
-1.8126 1.0465 9.9505
0.0000 -2.0930 9.9505
Gd Er S
1 2 1
Cartesian
0.0000 0.0000 0.0000
0.0000 0.0000 3.3396
0.0000 0.0000 26.5119
0.0000 0.0000 14.9257
```

---

2.
This record from Alexandria describes crystalline GdErSb2 at its relaxed geometry. The functional is PBE.

## Properties
Mass density in g/cm³: 7.86
Symmetry: R-3m, No. 166
Uncorrected formation energy in eV per atom: -1.130

The structure in POSCAR format:
```
GdErSb2
1.0
2.1978 1.2689 7.1725
-2.1978 1.2689 7.1725
0.0000 -2.5378 7.1725
Gd Er Sb
1 1 2
Cartesian
0.0000 0.0000 0.0000
0.0000 0.0000 10.7587
0.0000 0.0000 5.3451
0.0000 0.0000 16.1722
```

---

3.
This record from Alexandria describes crystalline Gd2ErSc at its relaxed geometry. The functional is PBE.

## Properties
Mass density in g/cm³: 7.36
Relative energy among the computed polymorphs in meV per atom: 1
Energy of formation from the pure elements in eV per atom: 0.05
Symmetry: P4/mmm, No. 123

The structure in POSCAR format:
```
Gd2ErSc
1.0
4.9435 0.0000 0.0000
0.0000 4.9435 0.0000
0.0000 0.0000 4.8598
Gd Er Sc
2 1 1
Cartesian
0.0000 2.4717 0.0000
2.4717 0.0000 0.0000
0.0000 0.0000 2.4299
2.4717 2.4717 2.4299
```

---

4.
This record from Alexandria describes crystalline Gd2ErSc at its relaxed geometry. The functional is PBE.

## Properties
Mass density in g/cm³: 7.35
Relative energy among the computed polymorphs in meV per atom: 0
Energy of formation from the pure elements in eV per atom: 0.05
Symmetry: P4/mmm, No. 123

The structure in POSCAR format:
```
Gd2ErSc
1.0
3.5191 0.0000 0.0000
0.0000 3.5191 0.0000
0.0000 0.0000 9.6027
Gd Er Sc
2 1 1
Cartesian
0.0000 0.0000 2.3006
0.0000 0.0000 7.3021
1.7595 1.7595 4.8014
1.7595 1.7595 0.0000
```

---

5.
This record from Alexandria describes crystalline Gd2ErSc at its relaxed geometry. The functional is PBE.

## Properties
Mass density in g/cm³: 7.30
Relative energy among the computed polymorphs in meV per atom: 54
Energy of formation from the pure elements in eV per atom: 0.10
Symmetry: Fm-3m, No. 225

The structure in POSCAR format:
```
Gd2ErSc
1.0
0.0000 3.9131 3.9131
3.9131 0.0000 3.9131
3.9131 3.9131 0.0000
Gd Er Sc
2 1 1
Cartesian
1.9565 1.9565 1.9565
5.8696 5.8696 5.8696
0.0000 0.0000 0.0000
3.9131 3.9131 3.9131
```

---

6.
This record from Alexandria describes crystalline SmGdErSc at its relaxed geometry. The functional is PBE.

## Properties
Mass density in g/cm³: 7.13
Energy of formation from the pure elements in eV per atom: 0.10
Symmetry: F-43m, No. 216

The structure in POSCAR format:
```
SmGdErSc
1.0
0.0000 3.9272 3.9272
3.9272 0.0000 3.9272
3.9272 3.9272 0.0000
Sm Gd Er Sc
1 1 1 1
Cartesian
0.0000 0.0000 0.0000
3.9272 3.9272 3.9272
5.8908 5.8908 5.8908
1.9636 1.9636 1.9636
```

---

- What is the mass density in the first record?
  7.68 g/cm³

---

- mass density of number 6 (SmGdErSc)?
  7.13 g/cm³

---

What did the first record say?
This record from Alexandria describes crystalline GdEr2S at its relaxed geometry. The functional is PBE.

## Properties
Mass density in g/cm³: 7.68
Symmetry: R-3m, No. 166
Uncorrected formation energy in eV per atom: -0.742

The structure in POSCAR format:
```
GdEr2S
1.0
1.8126 1.0465 9.9505
-1.8126 1.0465 9.9505
0.0000 -2.0930 9.9505
Gd Er S
1 2 1
Cartesian
0.0000 0.0000 0.0000
0.0000 0.0000 3.3396
0.0000 0.0000 26.5119
0.0000 0.0000 14.9257
```

---

- Which value of mass density does entry 6 give?
  7.13 g/cm³